Run P
Below is a relaxed structure of LaGd2Th, with properties calculated at the PBE level.

Unit cell a=5.084 b=5.116 c=5.116 alpha=90.00 beta=90.00 gamma=90.00
Last column: magnetic moment on the atom in μB.
Fractional positions:
La1 0.500 0.000 0.000  -0.04
Gd1 0.000 0.000 0.500  7.09
Th1 0.500 0.500 0.500  -0.09
Gd2 0.000 0.500 0.000  7.09

Summary:
Total moment: 14.33 μB per cell
SG: No. 123
Density of states at the Fermi level: 1.445 states/eV/atom
Volume: 133.1 Å³/cell



Run Q
Below is a relaxed structure of LaGd2Th, with properties calculated at the PBE level.

Unit cell a=3.543 b=3.543 c=12.613 alpha=81.93 beta=81.93 gamma=60.00
Last column: magnetic moment on the atom in μB.
Fractional positions:
La1 0.000 0.000 0.000  -0.08
Th1 0.500 0.500 0.500  0.11
Gd1 0.092 0.092 0.724  -7.13
Gd2 0.908 0.908 0.276  -7.13

Summary:
Total moment: 14.66 μB per cell
SG: No. 166
Density of states at the Fermi level: 1.464 states/eV/atom
Volume: 135.3 Å³/cell



Run R
Below is a relaxed structure of LaGd2Th, with properties calculated at the PBE level.

Unit cell a=3.599 b=3.599 c=10.330 alpha=90.00 beta=90.00 gamma=90.00
Last column: magnetic moment on the atom in μB.
Fractional positions:
Th1 0.500 0.500 0.500  -0.10
La1 0.500 0.500 0.000  -0.03
Gd1 0.000 0.000 0.265  7.08
Gd2 0.000 0.000 0.735  7.08

Summary:
Total moment: 14.32 μB per cell
SG: No. 123
Density of states at the Fermi level: 1.498 states/eV/atom
Volume: 133.8 Å³/cell



Run S
Below is a relaxed structure of LaGd2Th, with properties calculated at the PBE level.

Unit cell a=5.754 b=5.754 c=5.754 alpha=60.00 beta=60.00 gamma=60.00
Last column: magnetic moment on the atom in μB.
Fractional positions:
La1 0.500 0.500 0.500  -0.06
Th1 0.000 0.000 0.000  -0.07
Gd1 0.750 0.750 0.750  -7.15
Gd2 0.250 0.250 0.250  -7.15

Summary:
Total moment: 14.94 μB per cell
SG: No. 225
Density of states at the Fermi level: 1.959 states/eV/atom
Volume: 134.7 Å³/cell



Tell me which of them is the most stable. Sure, it is run R.



Run P
Below is a relaxed structure of LaGd2Ti, with properties calculated at the PBE level.

Unit cell a=3.415 b=3.415 c=10.014 alpha=90.00 beta=90.00 gamma=90.00
Last column: magnetic moment on the atom in μB.
Fractional positions:
Gd1 0.000 0.000 0.210  7.13
Gd2 0.000 0.000 0.790  7.13
La1 0.500 0.500 0.500  -0.04
Ti1 0.500 0.500 0.000  -0.20

Summary:
Total moment: 14.37 μB per cell
SG: No. 123
Density of states at the Fermi level: 1.626 states/eV/atom
Volume: 116.8 Å³/cell



Run Q
Below is a relaxed structure of LaGd2Ti, with properties calculated at the PBE level.

Unit cell a=3.435 b=3.435 c=11.467 alpha=81.39 beta=81.39 gamma=60.00
Last column: magnetic moment on the atom in μB.
Fractional positions:
Ti1 0.000 0.000 0.000  0.32
La1 0.500 0.500 0.500  0.12
Gd1 0.260 0.260 0.220  -7.13
Gd2 0.740 0.740 0.780  -7.13

Summary:
Total moment: 14.02 μB per cell
SG: No. 166
Density of states at the Fermi level: 1.404 states/eV/atom
Volume: 115.4 Å³/cell



Tell me which of them is the most stable. Sure, it is run P.



Run P
Below is a relaxed structure of LaGd2Tl, with properties calculated at the PBE level.

Unit cell a=5.546 b=5.546 c=5.546 alpha=60.00 beta=60.00 gamma=60.00
Last column: magnetic moment on the atom in μB.
Fractional positions:
La1 0.000 0.000 0.000  0.59
Gd1 0.250 0.250 0.250  7.47
Gd2 0.750 0.750 0.750  7.47
Tl1 0.500 0.500 0.500  -0.02

Summary:
Total moment: 17.06 μB per cell
SG: No. 225
Density of states at the Fermi level: 1.623 states/eV/atom
Volume: 120.6 Å³/cell



Run Q
Below is a relaxed structure of LaGd2Tl, with properties calculated at the PBE level.

Unit cell a=4.907 b=4.979 c=4.979 alpha=90.00 beta=90.00 gamma=90.00
Last column: magnetic moment on the atom in μB.
Fractional positions:
Gd1 0.000 0.500 0.000  7.31
Tl1 0.500 0.000 0.000  -0.04
La1 0.500 0.500 0.500  0.18
Gd2 0.000 0.000 0.500  7.31

Summary:
Total moment: 15.56 μB per cell
SG: No. 123
Density of states at the Fermi level: 0.983 states/eV/atom
Volume: 121.7 Å³/cell



Run R
Below is a relaxed structure of LaGd2Tl, with properties calculated at the PBE level.

Unit cell a=3.685 b=3.685 c=9.255 alpha=90.00 beta=90.00 gamma=90.00
Last column: magnetic moment on the atom in μB.
Fractional positions:
La1 0.500 0.500 0.500  0.00
Gd1 0.000 0.000 0.223  7.16
Tl1 0.500 0.500 0.000  -0.01
Gd2 0.000 0.000 0.777  7.16

Summary:
Total moment: 14.81 μB per cell
SG: No. 123
Density of states at the Fermi level: 0.912 states/eV/atom
Volume: 125.7 Å³/cell



Tell me which of them is the most stable. Sure, it is run Q.



Run P
Below is a relaxed structure of La2GdTm, with properties calculated at the PBE level.

Unit cell a=5.033 b=5.204 c=5.204 alpha=90.00 beta=90.00 gamma=90.00
Last column: magnetic moment on the atom in μB.
Fractional positions:
Gd1 0.500 0.500 0.500  7.17
La1 0.000 0.500 0.000  -0.01
La2 0.000 0.000 0.500  -0.01
Tm1 0.500 0.000 0.000  -0.01

Summary:
Total moment: 7.39 μB per cell
SG: No. 123
Density of states at the Fermi level: 1.487 states/eV/atom
Volume: 136.3 Å³/cell



Run Q
Below is a relaxed structure of La2GdTm, with properties calculated at the PBE level.

Unit cell a=5.801 b=5.801 c=5.801 alpha=60.00 beta=60.00 gamma=60.00
Last column: magnetic moment on the atom in μB.
Fractional positions:
Gd1 0.500 0.500 0.500  7.24
La1 0.250 0.250 0.250  0.06
Tm1 0.000 0.000 0.000  0.04
La2 0.750 0.750 0.750  0.06

Summary:
Total moment: 7.80 μB per cell
SG: No. 225
Density of states at the Fermi level: 1.782 states/eV/atom
Volume: 138.0 Å³/cell



Tell me which of them is the most stable. Sure, it is run P.



Run P
Below is a relaxed structure of La2GdZn, with properties calculated at the PBE level.

Unit cell a=5.536 b=5.536 c=5.536 alpha=60.00 beta=60.00 gamma=60.00
Last column: magnetic moment on the atom in μB.
Fractional positions:
Zn1 0.500 0.500 0.500  -0.03
Gd1 0.000 0.000 0.000  7.32
La1 0.750 0.750 0.750  0.10
La2 0.250 0.250 0.250  0.10

Summary:
Total moment: 7.87 μB per cell
SG: No. 225
Density of states at the Fermi level: 1.573 states/eV/atom
Volume: 120.0 Å³/cell



Run Q
Below is a relaxed structure of La2GdZn, with properties calculated at the PBE level.

Unit cell a=3.763 b=3.763 c=8.746 alpha=90.00 beta=90.00 gamma=90.00
Last column: magnetic moment on the atom in μB.
Fractional positions:
Zn1 0.500 0.500 0.000  -0.02
La1 0.000 0.000 0.789  0.05
La2 0.000 0.000 0.211  0.05
Gd1 0.500 0.500 0.500  7.33

Summary:
Total moment: 7.96 μB per cell
SG: No. 123
Density of states at the Fermi level: 1.194 states/eV/atom
Volume: 123.9 Å³/cell



Tell me which of them is the most stable. Sure, it is run Q.



Run P
Below is a relaxed structure of La2GdZr, with properties calculated at the PBE level.

Unit cell a=4.898 b=5.057 c=5.057 alpha=90.00 beta=90.00 gamma=90.00
Last column: magnetic moment on the atom in μB.
Fractional positions:
Gd1 0.500 0.000 0.000  7.12
La1 0.000 0.500 0.000  -0.01
La2 0.000 0.000 0.500  -0.01
Zr1 0.500 0.500 0.500  -0.14

Summary:
Total moment: 7.07 μB per cell
SG: No. 123
Density of states at the Fermi level: 1.232 states/eV/atom
Volume: 125.3 Å³/cell



Run Q
Below is a relaxed structure of La2GdZr, with properties calculated at the PBE level.

Unit cell a=3.534 b=3.534 c=10.111 alpha=90.00 beta=90.00 gamma=90.00
Last column: magnetic moment on the atom in μB.
Fractional positions:
Gd1 0.500 0.500 0.500  -7.26
La1 0.000 0.000 0.768  0.00
Zr1 0.500 0.500 0.000  0.09
La2 0.000 0.000 0.232  0.00

Summary:
Total moment: 7.48 μB per cell
SG: No. 123
Density of states at the Fermi level: 1.338 states/eV/atom
Volume: 126.3 Å³/cell



Tell me which of them is the most stable. Sure, it is run Q.



Run P
Below is a relaxed structure of LiGd2Lu, with properties calculated at the PBE level.

Unit cell a=3.448 b=3.448 c=12.221 alpha=81.89 beta=81.89 gamma=60.00
Last column: magnetic moment on the atom in μB.
Fractional positions:
Lu1 0.500 0.500 0.500  -0.09
Gd1 0.089 0.089 0.733  7.22
Gd2 0.911 0.911 0.267  7.22
Li1 0.000 0.000 0.000  0.01

Summary:
Total moment: 14.93 μB per cell
SG: No. 166
Density of states at the Fermi level: 1.253 states/eV/atom
Volume: 124.1 Å³/cell



Run Q
Below is a relaxed structure of LiGd2Lu, with properties calculated at the PBE level.

Unit cell a=3.646 b=3.646 c=8.598 alpha=90.00 beta=90.00 gamma=90.00
Last column: magnetic moment on the atom in μB.
Fractional positions:
Gd1 0.000 0.000 0.229  7.24
Li1 0.500 0.500 0.000  0.01
Gd2 0.000 0.000 0.771  7.24
Lu1 0.500 0.500 0.500  0.17

Summary:
Total moment: 15.34 μB per cell
SG: No. 123
Density of states at the Fermi level: 1.449 states/eV/atom
Volume: 114.3 Å³/cell



Run R
Below is a relaxed structure of LiGd2Lu, with properties calculated at the PBE level.

Unit cell a=5.461 b=5.461 c=5.461 alpha=60.00 beta=60.00 gamma=60.00
Last column: magnetic moment on the atom in μB.
Fractional positions:
Gd1 0.250 0.250 0.250  7.07
Gd2 0.750 0.750 0.750  7.07
Lu1 0.000 0.000 0.000  -0.03
Li1 0.500 0.500 0.500  0.00

Summary:
Total moment: 14.41 μB per cell
SG: No. 225
Density of states at the Fermi level: 1.167 states/eV/atom
Volume: 115.2 Å³/cell



Tell me which of them is the most stable. Sure, it is run Q.